As2PbSe (PBE-GGA, optimized geometry); formation energy (no corrections) = 0.3888 eV per atom; distance to the lowest polymorph of the same formula = 552 meV/atom; space-group type = Fm-3m, No. 225
1.0
0.000 3.561 3.561
3.561 0.000 3.561
3.561 3.561 0.000
Pb As Se
1 2 1
direct
0.500 0.500 0.500
0.750 0.750 0.750
0.250 0.250 0.250
0.000 0.000 0.000

=====

As2Pb2Se (PBE-GGA, optimized geometry); formation energy (no corrections) = 0.1027 eV per atom; distance to the lowest polymorph of the same formula = 211 meV/atom; space-group type = P4/mbm, No. 127
1.0
8.408 0.000 0.000
0.000 8.408 0.000
0.000 0.000 4.638
Pb As Se
4 4 2
direct
0.249 0.251 0.000
0.251 0.751 0.000
0.751 0.749 0.000
0.749 0.249 0.000
0.904 0.404 0.500
0.404 0.096 0.500
0.096 0.596 0.500
0.596 0.904 0.500
0.500 0.500 0.000
0.000 0.000 0.000

=====

As2PbSe (PBE-GGA, optimized geometry); formation energy (no corrections) = 0.2684 eV per atom; distance to the lowest polymorph of the same formula = 431 meV/atom; space-group type = P4/mmm, No. 123
1.0
6.268 0.000 0.000
0.000 4.019 0.000
0.000 0.000 4.019
As Pb Se
2 1 1
direct
0.000 0.000 0.000
0.000 0.500 0.500
0.500 0.500 0.000
0.500 0.000 0.500

=====

AsPbSe (PBE-GGA, optimized geometry); formation energy (no corrections) = 0.1645 eV per atom; distance to the lowest polymorph of the same formula = 145 meV/atom; space-group type = F-43m, No. 216
1.0
4.899 0.000 0.000
2.450 4.243 0.000
2.450 1.414 4.000
Pb As Se
1 1 1
direct
0.000 0.000 0.000
0.250 0.250 0.250
0.500 0.500 0.500

=====

As2PbSe (PBE-GGA, optimized geometry); formation energy (no corrections) = 0.0817 eV per atom; distance to the lowest polymorph of the same formula = 245 meV/atom; space-group type = Cm, No. 8
1.0
-4.575 -4.419 1.506
-2.090 -6.173 -0.497
2.574 -0.905 3.985
Se As Pb
1 2 1
direct
0.739 0.739 0.674
0.300 0.300 0.076
0.948 0.948 0.124
0.513 0.513 0.626

=====

As2PbSe (PBE-GGA, optimized geometry); formation energy (no corrections) = 0.1610 eV per atom; distance to the lowest polymorph of the same formula = 324 meV/atom; space-group type = R-3m, No. 166
1.0
7.144 -0.008 -0.005
5.978 3.911 -0.005
5.978 1.778 3.484
Pb As Se
1 2 1
direct
0.250 0.250 0.250
0.490 0.490 0.490
0.010 0.010 0.010
0.750 0.750 0.750

=====

As2PbSe (PBE-GGA, optimized geometry); formation energy (no corrections) = -0.0730 eV per atom; distance to the lowest polymorph of the same formula = 90 meV/atom; space-group type = C2/m, No. 12
1.0
6.692 -0.015 -0.001
5.519 3.786 -0.001
-1.754 -0.542 4.158
Pb Se As
1 1 2
direct
0.250 0.250 0.250
0.750 0.750 0.750
0.508 0.508 0.580
0.992 0.992 0.920

=====

AsPbSe (PBE-GGA, optimized geometry); formation energy (no corrections) = 0.3430 eV per atom; distance to the lowest polymorph of the same formula = 323 meV/atom; space-group type = F-43m, No. 216
1.0
4.974 0.000 0.000
2.487 4.308 0.000
2.487 1.436 4.061
As Pb Se
1 1 1
direct
0.500 0.500 0.500
0.250 0.250 0.250
0.000 0.000 0.000

=====

SiAs2PbSe (PBE-GGA, optimized geometry); formation energy (no corrections) = 1.2591 eV per atom; distance to the lowest polymorph of the same formula = 954 meV/atom; space-group type = P4/mmm, No. 123
1.0
-1.638 -4.163 2.969
5.077 -0.952 1.466
-0.613 3.272 4.250
As Si Se Pb
2 1 1 1
direct
0.000 0.500 0.000
0.500 0.000 0.000
0.500 0.500 0.500
0.000 0.000 0.500
0.000 0.000 0.000

=====

SiAs2PbSe (PBE-GGA, optimized geometry); formation energy (no corrections) = 0.3053 eV per atom; distance to the lowest polymorph of the same formula = 0 meV/atom; space-group type = P4/mmm, No. 123
1.0
4.856 0.000 0.000
0.000 4.856 0.000
0.000 0.000 4.986
As Se Si Pb
2 1 1 1
direct
0.500 0.000 0.000
0.000 0.500 0.000
0.000 0.000 0.500
0.000 0.000 0.000
0.500 0.500 0.500

=====

Sm4AsPb2Se (PBE-GGA, optimized geometry); formation energy (no corrections) = -1.0869 eV per atom; space-group type = P2/m, No. 10
1.0
4.171 0.000 0.000
0.000 8.083 -0.462
0.000 2.536 6.776
Sm Pb Se As
4 2 1 1
direct
0.500 0.281 0.736
0.000 0.278 0.244
0.500 0.719 0.264
0.000 0.722 0.756
0.000 0.000 0.000
0.500 0.000 0.500
0.500 0.500 0.000
0.000 0.500 0.500

=====

Sm6AsPb2Se3 (PBE-GGA, optimized geometry); formation energy (no corrections) = -1.3414 eV per atom; space-group type = C2/m, No. 12
1.0
-2.127 2.545 -2.739
4.559 -3.269 -6.577
-6.375 -6.991 1.833
Sm Se Pb As
6 3 2 1
direct
0.338 0.410 0.676
0.001 0.760 0.003
0.999 0.240 0.997
0.337 0.927 0.675
0.663 0.073 0.325
0.662 0.590 0.324
0.834 0.166 0.668
0.500 0.500 0.000
0.166 0.834 0.332
0.167 0.333 0.335
0.833 0.667 0.665
0.500 0.000 0.000

=====

SnAs2PbSe (PBE-GGA, optimized geometry); formation energy (no corrections) = 0.4655 eV per atom; distance to the lowest polymorph of the same formula = 0 meV/atom; space-group type = P4/mmm, No. 123
1.0
5.252 0.000 0.000
0.000 5.252 0.000
0.000 0.000 5.329
As Sn Pb Se
2 1 1 1
direct
0.500 0.000 0.000
0.000 0.500 0.000
0.000 0.000 0.000
0.500 0.500 0.500
0.000 0.000 0.500

=====

SnAsPb2Se5 (PBE-GGA, optimized geometry); formation energy (no corrections) = -0.3191 eV per atom; space-group type = Cmc2_1, No. 36
1.0
-3.774 2.021 -0.625
-2.665 -8.687 2.979
0.188 4.070 12.036
Sn Se Pb As
2 10 4 2
direct
0.558 0.117 0.940
0.442 0.883 0.440
0.651 0.303 0.504
0.042 0.085 0.057
0.284 0.567 0.653
0.958 0.915 0.557
0.524 0.048 0.276
0.349 0.697 0.004
0.681 0.361 0.839
0.319 0.639 0.339
0.716 0.433 0.153
0.476 0.952 0.776
0.127 0.254 0.689
0.873 0.746 0.189
0.865 0.729 0.825
0.135 0.271 0.325
0.781 0.562 0.541
0.219 0.438 0.041

=====

SrAsPb2Se (PBE-GGA, optimized geometry); formation energy (no corrections) = 0.6993 eV per atom; space-group type = P4/mmm, No. 123
1.0
-2.541 5.723 0.655
-2.439 -1.609 4.602
5.025 1.852 3.311
Pb As Se Sr
2 1 1 1
direct
0.500 0.000 0.000
0.000 0.000 0.500
0.500 0.500 0.500
0.000 0.500 0.000
0.000 0.000 0.000

=====

SrAs2PbSe (PBE-GGA, optimized geometry); formation energy (no corrections) = 0.4724 eV per atom; distance to the lowest polymorph of the same formula = 407 meV/atom; space-group type = P4/mmm, No. 123
1.0
5.581 0.000 0.000
0.000 5.659 0.000
0.000 0.000 5.581
Sr Se As Pb
1 1 2 1
direct
0.000 0.000 0.000
0.000 0.500 0.000
0.500 0.000 0.000
0.000 0.000 0.500
0.500 0.500 0.500

=====

SrAs2PbSe (PBE-GGA, optimized geometry); formation energy (no corrections) = 0.0653 eV per atom; distance to the lowest polymorph of the same formula = 0 meV/atom; space-group type = P4/mmm, No. 123
1.0
-2.343 -4.911 0.879
-0.348 -0.808 -5.441
5.138 -2.445 0.034
Sr Se As Pb
1 1 2 1
direct
0.500 0.500 0.500
0.000 0.000 0.500
0.500 0.000 0.000
0.000 0.500 0.000
0.000 0.000 0.000

=====

TaAsPbSe2 (PBE-GGA, optimized geometry); formation energy (no corrections) = -0.1222 eV per atom; distance to the lowest polymorph of the same formula = 0 meV/atom; space-group type = P4/mmm, No. 123
1.0
5.025 0.000 0.000
0.000 5.025 0.000
0.000 0.000 5.172
Pb Se Ta As
1 2 1 1
direct
0.500 0.500 0.500
0.000 0.500 0.000
0.500 0.000 0.000
0.000 0.000 0.000
0.000 0.000 0.500

=====

TaAsPbSe2 (PBE-GGA, optimized geometry); formation energy (no corrections) = 1.4368 eV per atom; distance to the lowest polymorph of the same formula = 1559 meV/atom; space-group type = P4/mmm, No. 123
1.0
-3.397 -3.395 -2.371
0.852 -3.574 3.897
-4.002 2.068 2.771
Se Pb As Ta
2 1 1 1
direct
0.500 0.000 0.000
0.000 0.500 0.000
0.000 0.000 0.000
0.000 0.000 0.500
0.500 0.500 0.500

=====

Tb6As2PbSe3 (PBE-GGA, optimized geometry); formation energy (no corrections) = -1.5081 eV per atom; space-group type = C2/m, No. 12
1.0
-2.505 1.933 2.722
-2.826 -7.430 2.677
8.380 0.597 4.088
Tb Se Pb As
6 3 1 2
direct
0.329 0.423 0.659
0.671 0.577 0.341
0.004 0.261 0.007
0.996 0.739 0.993
0.329 0.904 0.659
0.671 0.096 0.341
0.166 0.832 0.331
0.500 0.500 0.000
0.834 0.168 0.669
0.500 0.000 0.000
0.832 0.665 0.665
0.168 0.335 0.335

=====

Number 1: density of states at the Fermi level 0.606 states/eV per atom. Number 2: density of states at the Fermi level 0.111 states/eV per atom. Number 3: density of states at the Fermi level 0.604 states/eV per atom. Number 4: density of states at the Fermi level 0.219 states/eV per atom. Number 5: density of states at the Fermi level 0.316 states/eV per atom. Number 6: density of states at the Fermi level 0.377 states/eV per atom. Number 7: density of states at the Fermi level 0.251 states/eV per atom. Number 8: density of states at the Fermi level 0.965 states/eV per atom. Number 9: density of states at the Fermi level 1.328 states/eV per atom. Number 10: density of states at the Fermi level 1.081 states/eV per atom. Number 11: density of states at the Fermi level 0.299 states/eV per atom. Number 12: density of states at the Fermi level 0.267 states/eV per atom. Number 13: density of states at the Fermi level 1.081 states/eV per atom. Number 14: density of states at the Fermi level 0.246 states/eV per atom. Number 15: density of states at the Fermi level 0.766 states/eV per atom. Number 16: density of states at the Fermi level 1.320 states/eV per atom. Number 17: density of states at the Fermi level 1.547 states/eV per atom. Number 18: density of states at the Fermi level 0.654 states/eV per atom. Number 19: density of states at the Fermi level 1.172 states/eV per atom. Number 20: density of states at the Fermi level 0.389 states/eV per atom.